Here is a relaxed structure of RbGaRe2O8 from Alexandria via LeMat-Bulk. Energies are from PBE.

Unit cell a=6.205 b=6.205 c=8.282 alpha=90.00 beta=90.00 gamma=120.00
Sites, in units of the cell vectors:
Rb  0.000  0.000  0.000
Ga  0.000  0.000  0.500
Re  0.333  0.667  0.784
Re  0.667  0.333  0.216
O  0.175  0.357  0.716
O  0.181  0.825  0.716
O  0.333  0.667  0.996
O  0.357  0.181  0.284
O  0.643  0.819  0.716
O  0.667  0.333  0.004
O  0.819  0.175  0.284
O  0.825  0.643  0.284

Summary:
DFT total energy = -7.35 eV/atom
ΔE_f (raw) = -1635 meV/atom
Mass density = 3.94 g/cm3
SG = No. 147
Total magnetic moment = 0.0 μB/f.u.

=====

Here is a relaxed structure of Rb2GaReO from Alexandria via LeMat-Bulk. Energies are from PBE.

Unit cell a=6.606 b=6.606 c=4.818 alpha=90.00 beta=90.00 gamma=90.00
Sites, in units of the cell vectors:
Rb  0.000  0.500  0.000
Rb  0.500  0.000  0.000
Ga  0.000  0.000  0.500
Re  0.000  0.000  0.000
O  0.500  0.500  0.500

Summary:
DFT total energy = -3.37 eV/atom
ΔE_f (raw) = 1101 meV/atom
Mass density = 3.50 g/cm3
SG = No. 123
Total magnetic moment = 3.6 μB/f.u.

=====

Here is a relaxed structure of RbGaReO6 from Alexandria via LeMat-Bulk. Energies are from PBE.

Unit cell a=5.365 b=5.365 c=6.141 alpha=90.03 beta=90.03 gamma=120.14
Sites, in units of the cell vectors:
Rb  0.000  0.000  0.000
Ga  0.318  0.682  0.500
Re  0.674  0.326  0.500
O  0.407  0.017  0.676
O  0.407  0.409  0.343
O  0.591  0.593  0.657
O  0.601  0.030  0.310
O  0.970  0.399  0.690
O  0.983  0.593  0.324

Summary:
DFT total energy = -6.60 eV/atom
ΔE_f (raw) = -1472 meV/atom
Mass density = 4.75 g/cm3
SG = No. 5
Total magnetic moment = 1.1 μB/f.u.

=====

Here is a relaxed structure of RbGa2RuO6 from Alexandria via LeMat-Bulk. Energies are from PBE.

Unit cell a=7.593 b=7.593 c=6.402 alpha=103.19 beta=103.19 gamma=109.18
Sites, in units of the cell vectors:
Rb  0.101  0.899  0.750
Rb  0.899  0.101  0.250
Ga  0.303  0.446  0.847
Ga  0.446  0.303  0.347
Ga  0.554  0.697  0.653
Ga  0.697  0.554  0.153
Ru  0.212  0.788  0.250
Ru  0.788  0.212  0.750
O  0.041  0.242  0.737
O  0.203  0.645  0.976
O  0.242  0.041  0.237
O  0.335  0.425  0.550
O  0.355  0.797  0.524
O  0.425  0.335  0.050
O  0.575  0.665  0.950
O  0.645  0.203  0.476
O  0.665  0.575  0.450
O  0.758  0.959  0.763
O  0.797  0.355  0.024
O  0.959  0.758  0.263

Summary:
DFT total energy = -5.93 eV/atom
ΔE_f (raw) = -1326 meV/atom
Mass density = 4.37 g/cm3
SG = No. 15
Total magnetic moment = 1.0 μB/f.u.

=====

Here is a relaxed structure of RbGaRuO6 from Alexandria via LeMat-Bulk. Energies are from PBE.

Unit cell a=5.276 b=5.276 c=6.217 alpha=90.00 beta=90.00 gamma=120.00
Sites, in units of the cell vectors:
Rb  0.000  0.000  0.000
Ga  0.333  0.667  0.450
Ru  0.667  0.333  0.510
O  0.404  0.008  0.658
O  0.426  0.400  0.305
O  0.600  0.026  0.305
O  0.604  0.596  0.658
O  0.974  0.574  0.305
O  0.992  0.396  0.658

Summary:
DFT total energy = -5.82 eV/atom
ΔE_f (raw) = -1038 meV/atom
Mass density = 3.90 g/cm3
SG = No. 143
Total magnetic moment = 0.0 μB/f.u.

=====

Here is a relaxed structure of RbGaRuO4 from Alexandria via LeMat-Bulk. Energies are from PBE.

Unit cell a=5.514 b=5.631 c=7.276 alpha=90.00 beta=100.87 gamma=90.00
Sites, in units of the cell vectors:
Rb  0.169  0.250  0.100
Rb  0.831  0.750  0.900
Ga  0.393  0.250  0.655
Ga  0.607  0.750  0.345
Ru  0.142  0.750  0.460
Ru  0.858  0.250  0.540
O  0.133  0.021  0.665
O  0.133  0.479  0.665
O  0.282  0.750  0.216
O  0.492  0.750  0.572
O  0.508  0.250  0.428
O  0.718  0.250  0.784
O  0.867  0.521  0.335
O  0.867  0.979  0.335

Summary:
DFT total energy = -5.90 eV/atom
ΔE_f (raw) = -1171 meV/atom
Mass density = 4.79 g/cm3
SG = No. 11
Total magnetic moment = 2.0 μB/f.u.

=====

Here is a relaxed structure of Rb2GaSbO4 from Alexandria via LeMat-Bulk. Energies are from PBE.

Unit cell a=6.173 b=6.173 c=8.308 alpha=90.00 beta=90.00 gamma=90.00
Sites, in units of the cell vectors:
Rb  0.000  0.000  0.000
Rb  0.000  0.500  0.250
Rb  0.500  0.000  0.750
Rb  0.500  0.500  0.500
Ga  0.000  0.000  0.500
Ga  0.500  0.500  0.000
Sb  0.000  0.500  0.750
Sb  0.500  0.000  0.250
O  0.128  0.776  0.624
O  0.224  0.128  0.376
O  0.276  0.372  0.876
O  0.372  0.724  0.124
O  0.628  0.276  0.124
O  0.724  0.628  0.876
O  0.776  0.872  0.376
O  0.872  0.224  0.624

Summary:
DFT total energy = -5.12 eV/atom
ΔE_f (raw) = -1501 meV/atom
Mass density = 4.47 g/cm3
SG = No. 82
Total magnetic moment = 0.0 μB/f.u.

=====

Here is a relaxed structure of RbGa2SbO6 from Alexandria via LeMat-Bulk. Energies are from PBE.

Unit cell a=7.609 b=7.609 c=6.465 alpha=103.23 beta=103.23 gamma=107.55
Sites, in units of the cell vectors:
Rb  0.102  0.898  0.750
Rb  0.898  0.102  0.250
Ga  0.307  0.448  0.850
Ga  0.448  0.307  0.350
Ga  0.552  0.693  0.650
Ga  0.693  0.552  0.150
Sb  0.207  0.793  0.250
Sb  0.793  0.207  0.750
O  0.045  0.249  0.720
O  0.195  0.633  0.971
O  0.249  0.045  0.220
O  0.339  0.426  0.554
O  0.367  0.805  0.529
O  0.426  0.339  0.054
O  0.574  0.661  0.946
O  0.633  0.195  0.471
O  0.661  0.574  0.446
O  0.751  0.955  0.780
O  0.805  0.367  0.029
O  0.955  0.751  0.280

Summary:
DFT total energy = -5.65 eV/atom
ΔE_f (raw) = -1563 meV/atom
Mass density = 4.47 g/cm3
SG = No. 15
Total magnetic moment = 0.0 μB/f.u.

=====

Here is a relaxed structure of RbGa2SbO from Alexandria via LeMat-Bulk. Energies are from PBE.

Unit cell a=6.080 b=6.080 c=4.285 alpha=90.00 beta=90.00 gamma=90.00
Sites, in units of the cell vectors:
Rb  0.000  0.000  0.000
Ga  0.000  0.500  0.000
Ga  0.500  0.000  0.000
Sb  0.500  0.500  0.500
O  0.000  0.000  0.500

Summary:
DFT total energy = -2.51 eV/atom
ΔE_f (raw) = 712 meV/atom
Mass density = 3.80 g/cm3
SG = No. 123
Total magnetic moment = 0.0 μB/f.u.

=====

Here is a relaxed structure of Rb2Ga2SbO6 from Alexandria via LeMat-Bulk. Energies are from PBE.

Unit cell a=5.937 b=5.937 c=6.793 alpha=115.83 beta=115.83 gamma=60.00
Sites, in units of the cell vectors:
Rb  0.214  0.214  0.142
Rb  0.786  0.786  0.858
Ga  0.416  0.416  0.749
Ga  0.584  0.584  0.251
Sb  0.000  0.000  0.500
O  0.228  0.228  0.711
O  0.228  0.757  0.713
O  0.243  0.772  0.287
O  0.757  0.228  0.713
O  0.772  0.243  0.287
O  0.772  0.772  0.289

Summary:
DFT total energy = -5.33 eV/atom
ΔE_f (raw) = -1524 meV/atom
Mass density = 4.89 g/cm3
SG = No. 12
Total magnetic moment = 0.0 μB/f.u.

=====

Here is a relaxed structure of Rb2ScGaO4 from Alexandria via LeMat-Bulk. Energies are from PBE.

Unit cell a=12.435 b=11.084 c=6.761 alpha=84.67 beta=62.56 gamma=32.78
Sites, in units of the cell vectors:
Rb  0.053  0.053  0.697
Rb  0.303  0.303  0.947
Rb  0.697  0.697  0.053
Rb  0.947  0.947  0.303
Sc  0.125  0.125  0.125
Sc  0.875  0.875  0.875
Ga  0.375  0.375  0.375
Ga  0.625  0.625  0.625
O  0.008  0.654  0.571
O  0.267  0.571  0.654
O  0.346  0.992  0.733
O  0.429  0.733  0.992
O  0.571  0.267  0.008
O  0.654  0.008  0.267
O  0.733  0.429  0.346
O  0.992  0.346  0.429

Summary:
DFT total energy = -5.94 eV/atom
ΔE_f (raw) = -2048 meV/atom
Mass density = 3.28 g/cm3
SG = No. 70
Total magnetic moment = 0.0 μB/f.u.

=====

Here is a relaxed structure of Rb3ScGa2O6 from Alexandria via LeMat-Bulk. Energies are from PBE.

Unit cell a=6.034 b=6.034 c=7.289 alpha=90.00 beta=90.00 gamma=120.00
Sites, in units of the cell vectors:
Rb  0.000  0.000  0.000
Rb  0.333  0.667  0.758
Rb  0.667  0.333  0.242
Sc  0.000  0.000  0.500
Ga  0.333  0.667  0.323
Ga  0.667  0.333  0.677
O  0.162  0.325  0.316
O  0.162  0.838  0.316
O  0.325  0.162  0.684
O  0.675  0.838  0.316
O  0.838  0.162  0.684
O  0.838  0.675  0.684

Summary:
DFT total energy = -5.69 eV/atom
ΔE_f (raw) = -1935 meV/atom
Mass density = 3.88 g/cm3
SG = No. 164
Total magnetic moment = 0.0 μB/f.u.

=====

Here is a relaxed structure of RbSc4Ga3O12 from Alexandria via LeMat-Bulk. Energies are from PBE.

Unit cell a=6.799 b=6.799 c=6.799 alpha=109.47 beta=109.47 gamma=109.47
Sites, in units of the cell vectors:
Rb  0.000  0.000  0.000
Sc  0.000  0.000  0.500
Sc  0.000  0.500  0.000
Sc  0.500  0.000  0.000
Sc  0.500  0.500  0.500
Ga  0.000  0.500  0.500
Ga  0.500  0.000  0.500
Ga  0.500  0.500  0.000
O  0.154  0.325  0.829
O  0.171  0.496  0.325
O  0.171  0.846  0.675
O  0.325  0.171  0.496
O  0.325  0.829  0.154
O  0.496  0.325  0.171
O  0.504  0.675  0.829
O  0.675  0.171  0.846
O  0.675  0.829  0.504
O  0.829  0.154  0.325
O  0.829  0.504  0.675
O  0.846  0.675  0.171

Summary:
DFT total energy = -7.10 eV/atom
ΔE_f (raw) = -2361 meV/atom
Mass density = 4.57 g/cm3
SG = No. 204
Total magnetic moment = 2.1 μB/f.u.

=====

Here is a relaxed structure of RbGaSe2O8 from Alexandria via LeMat-Bulk. Energies are from PBE.

Unit cell a=5.042 b=5.042 c=8.843 alpha=90.00 beta=90.00 gamma=120.00
Sites, in units of the cell vectors:
Rb  0.000  0.000  0.000
Ga  0.000  0.000  0.500
Se  0.333  0.667  0.696
Se  0.667  0.333  0.304
O  0.036  0.332  0.636
O  0.296  0.964  0.636
O  0.332  0.296  0.364
O  0.333  0.667  0.882
O  0.667  0.333  0.118
O  0.668  0.704  0.636
O  0.704  0.036  0.364
O  0.964  0.668  0.364

Summary:
DFT total energy = -5.32 eV/atom
ΔE_f (raw) = -1098 meV/atom
Mass density = 3.76 g/cm3
SG = No. 147
Total magnetic moment = 0.0 μB/f.u.

=====

Here is a relaxed structure of RbGa3Se4O12 from Alexandria via LeMat-Bulk. Energies are from PBE.

Unit cell a=6.713 b=6.713 c=6.713 alpha=104.17 beta=104.17 gamma=104.17
Sites, in units of the cell vectors:
Rb  0.000  0.000  0.000
Ga  0.000  0.566  0.434
Ga  0.434  0.000  0.566
Ga  0.566  0.434  0.000
Se  0.097  0.500  0.903
Se  0.500  0.500  0.500
Se  0.500  0.903  0.097
Se  0.903  0.097  0.500
O  0.066  0.934  0.500
O  0.073  0.298  0.404
O  0.298  0.404  0.073
O  0.305  0.695  0.500
O  0.404  0.073  0.298
O  0.500  0.066  0.934
O  0.500  0.305  0.695
O  0.596  0.702  0.927
O  0.695  0.500  0.305
O  0.702  0.927  0.596
O  0.927  0.596  0.702
O  0.934  0.500  0.066

Summary:
DFT total energy = -5.08 eV/atom
ΔE_f (raw) = -903 meV/atom
Mass density = 4.95 g/cm3
SG = No. 155
Total magnetic moment = 0.0 μB/f.u.

=====

Here is a relaxed structure of RbGa2SeO6 from Alexandria via LeMat-Bulk. Energies are from PBE.

Unit cell a=7.365 b=7.365 c=6.347 alpha=101.90 beta=101.90 gamma=106.34
Sites, in units of the cell vectors:
Rb  0.093  0.907  0.750
Rb  0.907  0.093  0.250
Ga  0.299  0.453  0.856
Ga  0.453  0.299  0.356
Ga  0.547  0.701  0.644
Ga  0.701  0.547  0.144
Se  0.220  0.780  0.250
Se  0.780  0.220  0.750
O  0.017  0.258  0.724
O  0.180  0.642  0.953
O  0.258  0.017  0.224
O  0.336  0.418  0.560
O  0.358  0.820  0.547
O  0.418  0.336  0.060
O  0.582  0.664  0.940
O  0.642  0.180  0.453
O  0.664  0.582  0.440
O  0.742  0.983  0.776
O  0.820  0.358  0.047
O  0.983  0.742  0.276

Summary:
DFT total energy = -5.32 eV/atom
ΔE_f (raw) = -1295 meV/atom
Mass density = 4.28 g/cm3
SG = No. 15
Total magnetic moment = 1.0 μB/f.u.

=====

Here is a relaxed structure of Rb2GaSe2O6 from Alexandria via LeMat-Bulk. Energies are from PBE.

Unit cell a=7.191 b=7.191 c=7.191 alpha=48.59 beta=48.59 gamma=48.59
Sites, in units of the cell vectors:
Rb  0.216  0.216  0.216
Rb  0.784  0.784  0.784
Ga  0.000  0.000  0.000
Se  0.417  0.417  0.417
Se  0.583  0.583  0.583
O  0.223  0.223  0.751
O  0.223  0.751  0.223
O  0.249  0.777  0.777
O  0.751  0.223  0.223
O  0.777  0.249  0.777
O  0.777  0.777  0.249

Summary:
DFT total energy = -4.84 eV/atom
ΔE_f (raw) = -1055 meV/atom
Mass density = 4.28 g/cm3
SG = No. 166
Total magnetic moment = 0.0 μB/f.u.

=====

Here is a relaxed structure of RbGaSe2O8 from Alexandria via LeMat-Bulk. Energies are from PBE.

Unit cell a=5.108 b=5.108 c=8.899 alpha=90.00 beta=90.00 gamma=120.00
Sites, in units of the cell vectors:
Rb  0.000  0.000  0.000
Ga  0.000  0.000  0.500
Se  0.333  0.667  0.706
Se  0.667  0.333  0.294
O  0.059  0.325  0.647
O  0.266  0.941  0.647
O  0.325  0.059  0.353
O  0.333  0.667  0.890
O  0.667  0.333  0.110
O  0.675  0.734  0.647
O  0.734  0.675  0.353
O  0.941  0.266  0.353

Summary:
DFT total energy = -5.27 eV/atom
ΔE_f (raw) = -1047 meV/atom
Mass density = 3.64 g/cm3
SG = No. 150
Total magnetic moment = 0.0 μB/f.u.

=====

Here is a relaxed structure of RbGaSeO6 from Alexandria via LeMat-Bulk. Energies are from PBE.

Unit cell a=5.090 b=5.090 c=6.420 alpha=90.00 beta=90.00 gamma=120.00
Sites, in units of the cell vectors:
Rb  0.000  0.000  0.000
Ga  0.667  0.333  0.500
Se  0.333  0.667  0.500
O  0.029  0.396  0.664
O  0.029  0.633  0.336
O  0.367  0.396  0.336
O  0.367  0.971  0.664
O  0.604  0.633  0.664
O  0.604  0.971  0.336

Summary:
DFT total energy = -5.01 eV/atom
ΔE_f (raw) = -874 meV/atom
Mass density = 3.81 g/cm3
SG = No. 149
Total magnetic moment = 2.0 μB/f.u.